Record 1
DFT (PBE-GGA) results for a geometry-optimized PrLu2Th structure.

Properties
As for the density of states at the Fermi level: 5.63 states/eV/f.u. The space group is R-3m, No. 166. The energy above the most stable polymorph in this dataset comes out at 0.06 eV/f.u. The value obtained for the total DFT energy (no corrections) is -63.418 eV per cell.

```
PrLu2Th
1.0
3.567 0.000 0.000
-1.784 3.089 0.000
0.000 0.000 34.337
Pr Lu Th
3 6 3
Direct
0.000 0.000 0.000
0.333 0.667 0.667
0.667 0.333 0.333
0.000 0.000 0.248
0.000 0.000 0.752
0.333 0.667 0.419
0.333 0.667 0.914
0.667 0.333 0.086
0.667 0.333 0.581
0.000 0.000 0.500
0.333 0.667 0.167
0.667 0.333 0.833
```

***

Record 2
DFT (PBE-GGA) results for a geometry-optimized Na6ZnF12 structure.

Properties
As for the density of states at the Fermi level: 6.01 states/eV/f.u. The space group is R-3, No. 148. For the energy relative to the elements, uncorrected, the calculation gives -2.09 eV/atom. The value obtained for the total DFT energy (no corrections) is -71.344 eV per cell.

```
Na6ZnF12
1.0
4.941 2.853 3.141
-4.941 2.853 3.141
0.000 -5.706 3.141
Na Zn F
6 1 12
Direct
0.151 0.259 0.616
0.259 0.616 0.151
0.384 0.849 0.741
0.616 0.151 0.259
0.741 0.384 0.849
0.849 0.741 0.384
0.000 0.000 0.000
0.033 0.936 0.701
0.064 0.299 0.967
0.147 0.565 0.477
0.299 0.967 0.064
0.435 0.523 0.853
0.477 0.147 0.565
0.523 0.853 0.435
0.565 0.477 0.147
0.701 0.033 0.936
0.853 0.435 0.523
0.936 0.701 0.033
0.967 0.064 0.299
```

***

Record 3
DFT (PBE-GGA) results for a geometry-optimized PmZnPdAu structure.

Properties
As for the density of states at the Fermi level: 2.17 states/eV/f.u. The space group is R3m, No. 160. The energy above the most stable polymorph in this dataset comes out at 0.00 eV/f.u. The value obtained for the total DFT energy (no corrections) is -51.598 eV per cell.

```
PmZnPdAu
1.0
4.512 0.000 0.000
-2.256 3.908 0.000
0.000 0.000 14.108
Pm Zn Pd Au
3 3 3 3
Direct
0.000 0.000 0.000
0.333 0.667 0.667
0.667 0.333 0.333
0.000 0.000 0.488
0.333 0.667 0.154
0.667 0.333 0.821
0.000 0.000 0.785
0.333 0.667 0.451
0.667 0.333 0.118
0.000 0.000 0.217
0.333 0.667 0.883
0.667 0.333 0.550
```

***

Record 4
DFT (PBE-GGA) results for a geometry-optimized SmEr2ThBi5 structure.

Properties
As for the density of states at the Fermi level: 6.16 states/eV/f.u. The space group is P4/mmm, No. 123. The value obtained for the total DFT energy (no corrections) is -38.413 eV per cell.

```
SmEr2ThBi5
1.0
5.715 0.000 0.000
0.000 5.715 0.000
0.000 0.000 12.038
Sm Er Th Bi
1 2 1 5
Direct
0.000 0.000 0.000
0.500 0.500 0.263
0.500 0.500 0.737
0.000 0.000 0.500
0.000 0.000 0.244
0.000 0.000 0.756
0.000 0.500 0.500
0.500 0.000 0.500
0.500 0.500 0.000
```

***

Repeat the first record exactly.
DFT (PBE-GGA) results for a geometry-optimized PrLu2Th structure.

Properties
As for the density of states at the Fermi level: 5.63 states/eV/f.u. The space group is R-3m, No. 166. The energy above the most stable polymorph in this dataset comes out at 0.06 eV/f.u. The value obtained for the total DFT energy (no corrections) is -63.418 eV per cell.

```
PrLu2Th
1.0
3.567 0.000 0.000
-1.784 3.089 0.000
0.000 0.000 34.337
Pr Lu Th
3 6 3
Direct
0.000 0.000 0.000
0.333 0.667 0.667
0.667 0.333 0.333
0.000 0.000 0.248
0.000 0.000 0.752
0.333 0.667 0.419
0.333 0.667 0.914
0.667 0.333 0.086
0.667 0.333 0.581
0.000 0.000 0.500
0.333 0.667 0.167
0.667 0.333 0.833
```